Compound: SmZnCuS3
Source: OQMD via LeMat-Bulk
Functional: PBE-GGA
Structure: relaxed

Computed properties:
- symmetry = No. 63
- V (Å³/f.u.) = 117.0
- electronic total energy (eV per atom) = -4.60

Cell: 6.2745 6.2745 10.5473 Å, 90.00 90.00 145.71°
Fractional coordinates of all 12 atoms:
Sm: 0.0000 0.0000 0.0000
Sm: 0.0000 0.0000 0.5000
Zn: 0.2350 0.7650 0.7500
Zn: 0.7650 0.2350 0.2500
Cu: 0.4797 0.5203 0.2500
Cu: 0.5203 0.4797 0.7500
S: 0.1039 0.8961 0.2500
S: 0.3490 0.6510 0.0908
S: 0.3490 0.6510 0.4092
S: 0.6510 0.3490 0.5908
S: 0.6510 0.3490 0.9092
S: 0.8961 0.1039 0.7500